Record 1
! PBE KSb2S4, relaxed; values from VASP
! Space group: No. 1
! Formation energy without anion corrections in eV per atom: -0.43
! E_tot in eV per atom: -4.12
&SYSTEM
  ibrav = 0, nat = 14, ntyp = 3
/
ATOMIC_SPECIES
K 39.10 K.upf
S 32.06 S.upf
Sb 121.76 Sb.upf
CELL_PARAMETERS angstrom
-5.167 4.609 4.144
-3.203 -6.994 -0.168
7.557 -0.457 4.187
ATOMIC_POSITIONS angstrom
K -4.838 4.333 4.057
S -1.766 -1.705 1.882
Sb 1.274 -0.316 5.921
S -6.291 0.156 4.068
Sb 4.008 -2.421 4.375
Sb -3.982 -3.708 4.188
S 3.310 0.029 4.558
S -0.690 1.568 2.534
S -0.935 -1.143 5.163
K 0.133 -3.870 3.214
S 1.943 -2.828 5.754
S 1.060 2.238 5.730
S -2.723 2.335 5.418
Sb -2.432 0.174 3.574



Record 2
! PBE Ac2CeTe2As2, relaxed; values from VASP
! Space group: No. 139
! Formation energy without anion corrections in eV per atom: -1.26
! E_tot in eV per atom: -5.51
&SYSTEM
  ibrav = 0, nat = 7, ntyp = 4
/
ATOMIC_SPECIES
Te 127.60 Te.upf
Ce 140.12 Ce.upf
Ac 227.00 Ac.upf
As 74.92 As.upf
CELL_PARAMETERS angstrom
-2.235 -0.127 4.938
-4.926 -0.350 -2.238
4.155 -8.140 -1.306
ATOMIC_POSITIONS angstrom
Te -3.217 -5.539 1.378
Ce 0.000 0.000 0.000
Ac -3.441 -2.269 1.361
As -2.463 -0.175 -1.119
Ac 0.435 -6.348 0.033
As -1.117 -0.064 2.469
Te 0.211 -3.077 0.016



Record 3
! PBE KTl3Ag, relaxed; values from VASP
! Space group: No. 62
! E_tot in eV per atom: -2.23
! Energy of formation in kcal/mol of atoms: -0.5
&SYSTEM
  ibrav = 0, nat = 20, ntyp = 3
/
ATOMIC_SPECIES
K 39.10 K.upf
Tl 204.38 Tl.upf
Ag 107.87 Ag.upf
CELL_PARAMETERS angstrom
4.863 0.000 0.000
0.000 10.033 0.000
0.000 0.000 12.776
ATOMIC_POSITIONS angstrom
K 1.216 6.876 6.357
Tl 1.216 5.661 1.156
Tl 3.647 1.441 10.127
Tl 3.647 6.457 9.037
Tl 3.648 6.130 3.697
Ag 3.648 8.902 4.589
K 3.647 3.157 6.419
Tl 1.216 3.902 9.079
Tl 1.216 8.592 2.649
Ag 1.216 1.131 8.188
Tl 3.647 4.372 11.620
Tl 1.216 3.576 3.739
Ag 1.216 6.148 10.977
Tl 1.216 8.919 10.086
Tl 3.648 9.388 7.545
Tl 1.216 0.645 5.231
K 1.216 1.860 0.031
Tl 3.648 1.114 2.691
K 3.647 8.173 12.745
Ag 3.648 3.885 1.800



Record 4
! PBE BaAl3Cr, relaxed; values from VASP
! Space group: No. 221
! E_tot in eV per atom: -2.24
! Energy of formation in kcal/mol of atoms: 53.3
&SYSTEM
  ibrav = 0, nat = 5, ntyp = 3
/
ATOMIC_SPECIES
Ba 137.33 Ba.upf
Cr 52.00 Cr.upf
Al 26.98 Al.upf
CELL_PARAMETERS angstrom
5.763 0.000 0.000
0.000 5.763 0.000
0.000 0.000 5.763
ATOMIC_POSITIONS angstrom
Ba 0.000 0.000 0.000
Cr 2.882 2.882 2.882
Al 0.000 0.000 2.882
Al 2.882 0.000 0.000
Al 0.000 2.882 0.000



Record 5
! PBE YSc2Hg, relaxed; values from VASP
! Space group: No. 47
! E_tot in eV per atom: -4.97
! Energy of formation in kcal/mol of atoms: -2.5
&SYSTEM
  ibrav = 0, nat = 4, ntyp = 3
/
ATOMIC_SPECIES
Sc 44.96 Sc.upf
Y 88.91 Y.upf
Hg 200.59 Hg.upf
CELL_PARAMETERS angstrom
-3.378 0.143 -0.484
-0.410 -4.215 1.613
-0.751 2.344 5.931
ATOMIC_POSITIONS angstrom
Sc -0.744 2.321 5.874
Y -2.082 -1.450 2.047
Sc -0.383 1.194 3.023
Hg -2.457 -0.278 5.013



Record 6
! PBE NaLiAl2Zn, relaxed; values from VASP
! Space group: No. 123
! E_tot in eV per atom: -2.08
! Energy of formation in kcal/mol of atoms: 7.4
&SYSTEM
  ibrav = 0, nat = 5, ntyp = 4
/
ATOMIC_SPECIES
Al 26.98 Al.upf
Zn 65.41 Zn.upf
Li 6.94 Li.upf
Na 22.99 Na.upf
CELL_PARAMETERS angstrom
-0.049 -2.019 4.347
-4.244 -2.952 -1.419
2.928 -3.454 -1.572
ATOMIC_POSITIONS angstrom
Al -0.024 -1.010 2.173
Zn 0.000 0.000 0.000
Li -0.683 -4.213 0.678
Na -2.122 -1.476 -0.710
Al 1.464 -1.727 -0.786



Record 7
! PBE Ba4Mg3Zn, relaxed; values from VASP
! Space group: No. 123
! E_tot in eV per atom: -1.80
! Energy of formation in kcal/mol of atoms: -1.8
&SYSTEM
  ibrav = 0, nat = 8, ntyp = 3
/
ATOMIC_SPECIES
Mg 24.30 Mg.upf
Ba 137.33 Ba.upf
Zn 65.41 Zn.upf
CELL_PARAMETERS angstrom
-3.269 -2.478 1.056
1.706 -0.620 3.827
-8.704 14.109 6.169
ATOMIC_POSITIONS angstrom
Mg -2.909 1.900 3.949
Ba -7.725 12.522 5.475
Ba -3.238 5.249 2.295
Mg -7.357 9.111 7.102
Mg -5.133 5.505 5.526
Zn -0.781 -1.549 2.441
Ba -5.466 8.861 3.874
Ba -0.979 1.588 0.694



Record 8
! PBE La2YHgOs, relaxed; values from VASP
! Space group: No. 123
! E_tot in eV per atom: -5.71
! Energy of formation in kcal/mol of atoms: -3.2
&SYSTEM
  ibrav = 0, nat = 5, ntyp = 4
/
ATOMIC_SPECIES
La 138.91 La.upf
Os 190.23 Os.upf
Y 88.91 Y.upf
Hg 200.59 Hg.upf
CELL_PARAMETERS angstrom
-1.271 -5.271 1.156
0.482 -1.293 -5.369
5.298 -1.115 0.744
ATOMIC_POSITIONS angstrom
La 0.241 -0.647 -2.684
Os 0.000 0.000 0.000
Y 2.649 -0.557 0.372
Hg 2.254 -3.839 -1.735
La -0.636 -2.635 0.578